A relaxed structure of AlInPt2, computed with GGA-PBE.

Lattice parameters (Å, degrees): 3.8924 2.8818 6.7308 90.00 90.00 90.00
Fractional coordinates of all 4 atoms:
In  0.5000  0.6250  0.7837
Pt  0.0000  0.1250  0.9904
Pt  0.5000  0.1250  0.4254
Al  0.0000  0.6250  0.3005

Results
E_tot, Ha/atom: -0.1943

A relaxed structure of LiMgGa2Rh4, computed with GGA-PBE.

Lattice parameters (Å, degrees): 4.2662 4.2662 7.4019 73.25 73.25 60.00
Fractional coordinates of all 8 atoms:
Rh  0.3764  0.3764  0.8709
Rh  0.6236  0.6236  0.1291
Rh  0.8739  0.8739  0.3782
Rh  0.1261  0.1261  0.6218
Ga  0.2483  0.2483  0.2550
Ga  0.7517  0.7517  0.7450
Mg  0.0000  0.0000  0.0000
Li  0.5000  0.5000  0.5000

Results
E_tot, Ha/atom: -0.2016

Number 1: formation energy from the elements -646 meV/atom. Number 2: formation energy from the elements -614 meV/atom.